{"formula": "CaGdTlPd", "functional": "GGA-PBE", "state": "optimized geometry", "cell": [[0.000, 3.691, 3.691], [3.691, 0.000, 3.691], [3.691, 3.691, 0.000]], "species": ["Ca", "Gd", "Tl", "Pd"], "frac_coords": [[0.000, 0.000, 0.000], [0.500, 0.500, 0.500], [0.750, 0.750, 0.750], [0.250, 0.250, 0.250]], "energy_ev_per_atom": -6.4268, "delta_e_f_mev_per_atom": -516, "sg": "F-43m"}